Record 1
Compound: Gd3Pd5O12
Source: the Alexandria database
Functional: GGA-PBE
Structure: relaxed

Calculated values
E_form (uncorrected) (eV/f.u.): -26.7
Raw total energy (eV per atom): -7.721

Unit cell a=11.190 b=11.190 c=11.190 alpha=109.47 beta=109.47 gamma=109.47
Fractional positions:
O (0.913, 0.834, 0.542)
O (0.629, 0.587, 0.921)
O (0.371, 0.958, 0.792)
O (0.834, 0.913, 0.042)
O (0.413, 0.371, 0.579)
O (0.958, 0.371, 0.292)
O (0.421, 0.129, 0.587)
O (0.166, 0.079, 0.708)
O (0.913, 0.079, 0.871)
O (0.587, 0.629, 0.421)
O (0.208, 0.542, 0.629)
O (0.292, 0.421, 0.834)
O (0.458, 0.792, 0.871)
O (0.708, 0.129, 0.042)
O (0.166, 0.087, 0.958)
O (0.087, 0.166, 0.458)
O (0.129, 0.708, 0.542)
O (0.542, 0.334, 0.913)
O (0.921, 0.087, 0.629)
O (0.666, 0.208, 0.579)
O (0.792, 0.458, 0.371)
O (0.042, 0.413, 0.834)
O (0.871, 0.292, 0.458)
O (0.871, 0.579, 0.913)
O (0.129, 0.421, 0.087)
O (0.421, 0.292, 0.334)
O (0.079, 0.166, 0.208)
O (0.958, 0.587, 0.166)
O (0.292, 0.871, 0.958)
O (0.413, 0.042, 0.334)
O (0.666, 0.458, 0.587)
O (0.792, 0.334, 0.921)
O (0.334, 0.542, 0.413)
O (0.629, 0.042, 0.208)
O (0.371, 0.413, 0.079)
O (0.087, 0.921, 0.129)
O (0.579, 0.871, 0.413)
O (0.834, 0.921, 0.292)
O (0.587, 0.958, 0.666)
O (0.079, 0.913, 0.371)
O (0.708, 0.579, 0.166)
O (0.208, 0.666, 0.079)
O (0.921, 0.834, 0.792)
O (0.458, 0.666, 0.087)
O (0.579, 0.708, 0.666)
O (0.334, 0.792, 0.421)
O (0.042, 0.629, 0.708)
O (0.542, 0.208, 0.129)
Pd (0.500, 0.500, 0.500)
Pd (0.750, 0.125, 0.875)
Pd (0.250, 0.375, 0.625)
Pd (0.125, 0.375, 0.250)
Pd (0.625, 0.750, 0.875)
Pd (0.125, 0.750, 0.375)
Pd (0.375, 0.250, 0.125)
Pd (0.875, 0.625, 0.750)
Pd (0.000, 0.000, 0.000)
Pd (0.000, 0.500, 0.500)
Pd (0.000, 0.500, 0.000)
Pd (0.750, 0.625, 0.375)
Pd (0.500, 0.000, 0.500)
Pd (0.500, 0.500, 0.000)
Pd (0.375, 0.125, 0.750)
Pd (0.625, 0.875, 0.250)
Pd (0.000, 0.000, 0.500)
Pd (0.250, 0.875, 0.125)
Pd (0.500, 0.000, 0.000)
Pd (0.875, 0.250, 0.625)
Gd (0.625, 0.375, 0.750)
Gd (0.625, 0.250, 0.375)
Gd (0.250, 0.625, 0.875)
Gd (0.125, 0.250, 0.875)
Gd (0.875, 0.125, 0.250)
Gd (0.750, 0.375, 0.125)
Gd (0.250, 0.125, 0.375)
Gd (0.375, 0.750, 0.625)
Gd (0.750, 0.875, 0.625)
Gd (0.375, 0.625, 0.250)
Gd (0.875, 0.750, 0.125)
Gd (0.125, 0.875, 0.750)

***

Record 2
Compound: UPd4Pt
Source: the Alexandria database
Functional: GGA-PBE
Structure: relaxed

Calculated values
Energy of formation (eV/atom): -0.41
Raw total energy (eV per atom): -6.760

Unit cell a=7.265 b=4.589 c=7.911 alpha=90.00 beta=90.00 gamma=129.36
Fractional positions:
Pd (0.256, 0.005, 0.917)
Pd (0.744, 0.995, 0.083)
Pd (0.744, 0.495, 0.583)
Pd (0.256, 0.005, 0.583)
Pd (0.744, 0.995, 0.417)
Pd (0.256, 0.505, 0.417)
Pd (0.744, 0.495, 0.917)
Pd (0.256, 0.505, 0.083)
Pt (0.500, 0.750, 0.750)
Pt (0.500, 0.250, 0.250)
U (0.000, 0.750, 0.250)
U (0.000, 0.250, 0.750)

***

Record 3
Compound: Ag2PtBr
Source: the Alexandria database
Functional: GGA-PBE
Structure: relaxed

Calculated values
E_form (uncorrected) (eV/f.u.): 1.1
Raw total energy (eV per atom): -3.076

Unit cell a=5.063 b=5.063 c=3.205 alpha=90.10 beta=90.10 gamma=112.22
Fractional positions:
Br (0.500, 0.000, 0.500)
Pt (0.000, 0.500, 0.500)
Ag (0.500, 0.500, 0.000)
Ag (0.000, 0.000, 0.000)

***

Record 4
Compound: TbPrMg
Source: the Alexandria database
Functional: GGA-PBE
Structure: relaxed

Calculated values
Energy of formation (eV/atom): -0.05
Raw total energy (eV per atom): -3.715

Unit cell a=3.766 b=3.766 c=7.022 alpha=105.55 beta=105.55 gamma=90.00
Fractional positions:
Pr (0.008, 0.008, 0.016)
Tb (0.322, 0.322, 0.643)
Mg (0.671, 0.671, 0.341)

***

Record 5
Compound: SrY2TlI
Source: the Alexandria database
Functional: GGA-PBE
Structure: relaxed

Calculated values
E_form (uncorrected) (eV/f.u.): 0.6
Raw total energy (eV per atom): -3.591

Unit cell a=5.720 b=6.302 c=5.720 alpha=90.00 beta=90.00 gamma=90.00
Fractional positions:
Y (0.000, 0.000, 0.500)
Y (0.500, 0.000, 0.000)
Sr (0.500, 0.500, 0.500)
Tl (0.000, 0.500, 0.000)
I (0.000, 0.000, 0.000)

***

Record 6
Compound: PmPr5Nd5
Source: the Alexandria database
Functional: GGA-PBE
Structure: relaxed

Calculated values
Energy of formation (eV/atom): 0.22
Raw total energy (eV per atom): -4.551

Unit cell a=6.209 b=10.146 c=7.127 alpha=109.93 beta=90.00 gamma=107.82
Fractional positions:
Nd (0.626, 0.252, 0.630)
Nd (0.671, 0.342, 0.174)
Nd (0.000, 0.000, 0.500)
Nd (0.374, 0.748, 0.370)
Nd (0.329, 0.658, 0.826)
Pr (0.174, 0.348, 0.930)
Pr (0.500, 0.000, 0.000)
Pr (0.175, 0.349, 0.417)
Pr (0.825, 0.651, 0.583)
Pr (0.826, 0.652, 0.070)
Pm (0.000, 0.000, 0.000)

***

Record 7
Compound: CsRb3I3
Source: the Alexandria database
Functional: GGA-PBE
Structure: relaxed

Calculated values
E_form (uncorrected) (eV/f.u.): -8.0
Raw total energy (eV per atom): -2.345

Unit cell a=10.210 b=10.210 c=10.210 alpha=90.00 beta=90.00 gamma=90.00
Fractional positions:
I (0.000, 0.250, 0.500)
I (0.000, 0.750, 0.500)
I (0.500, 0.000, 0.250)
I (0.750, 0.500, 0.000)
I (0.250, 0.500, 0.000)
I (0.500, 0.000, 0.750)
Rb (0.000, 0.500, 0.750)
Rb (0.250, 0.000, 0.500)
Rb (0.750, 0.000, 0.500)
Rb (0.000, 0.500, 0.250)
Rb (0.500, 0.250, 0.000)
Rb (0.500, 0.750, 0.000)
Cs (0.500, 0.500, 0.500)
Cs (0.000, 0.000, 0.000)

***

Record 8
Compound: Ca2CeGa4
Source: the Alexandria database
Functional: GGA-PBE
Structure: relaxed

Calculated values
Energy of formation (eV/atom): -0.52
Raw total energy (eV per atom): -3.665

Unit cell a=4.269 b=4.271 c=9.919 alpha=102.43 beta=102.43 gamma=90.00
Fractional positions:
Ga (0.361, 0.361, 0.722)
Ga (0.065, 0.565, 0.131)
Ga (0.935, 0.435, 0.869)
Ga (0.639, 0.639, 0.278)
Ca (0.186, 0.186, 0.373)
Ca (0.814, 0.814, 0.627)
Ce (0.500, 0.000, 0.000)